Below is LiAg2Cl4 after structural relaxation, with properties calculated at the PBE level.

Mass density, kg/m3: 3191
Energy above the most stable polymorph in this dataset, meV/atom: 47
D(E_F), states/eV/atom: 1.297
Calculated total energy, eV/atom: -2.879

CIF file:
```
data_LiAg2Cl4
_space_group_name_H-M_alt 'P -4 2 m'
_space_group_IT_number 111
_space_group_name_Hall 'P -4 2'
_cell_length_a 5.685
_cell_length_b 5.685
_cell_length_c 5.870
_cell_angle_alpha 90.00
_cell_angle_beta 90.00
_cell_angle_gamma 90.00
loop_
_atom_site_label
_atom_site_type_symbol
_atom_site_fract_x
_atom_site_fract_y
_atom_site_fract_z
_atom_site_occupancy
Li1 Li 0.000 0.000 0.000 1
Ag1 Ag 0.000 0.500 0.500 1
Cl1 Cl 0.239 0.239 0.238 1
```


Below is TiCuIO6 after structural relaxation, with properties calculated at the PBE level.

Mass density, kg/m3: 5198
D(E_F), states/eV/atom: 0.307
Calculated total energy, eV/atom: -5.905

CIF file:
```
data_TiCuIO6
_space_group_name_H-M_alt 'P -3 1 c'
_space_group_IT_number 163
_space_group_name_Hall '-P 3 2c'
_cell_length_a 5.1655
_cell_length_b 5.1655
_cell_length_c 9.2439
_cell_angle_alpha 90.00
_cell_angle_beta 90.00
_cell_angle_gamma 120.00
loop_
_atom_site_label
_atom_site_type_symbol
_atom_site_fract_x
_atom_site_fract_y
_atom_site_fract_z
_atom_site_occupancy
Ti1 Ti 0.3333 0.6667 0.2500 1
Cu1 Cu 0.0000 0.0000 0.0000 1
I1 I 0.3333 0.6667 0.7500 1
O1 O 0.0062 0.3627 0.6344 1
```


Below is Ti2SbPd9 after structural relaxation, with properties calculated at the PBE level.

Mass density, kg/m3: 10390
D(E_F), states/eV/atom: 0.294
Calculated total energy, eV/atom: -6.105

CIF file:
```
data_Ti2SbPd9
_space_group_name_H-M_alt 'P 4/m m m'
_space_group_IT_number 123
_space_group_name_Hall '-P 4 2'
_cell_length_a 3.967
_cell_length_b 3.967
_cell_length_c 11.938
_cell_angle_alpha 90.00
_cell_angle_beta 90.00
_cell_angle_gamma 90.00
loop_
_atom_site_label
_atom_site_type_symbol
_atom_site_fract_x
_atom_site_fract_y
_atom_site_fract_z
_atom_site_occupancy
Ti1 Ti 0.000 0.000 0.163 1
Sb1 Sb 0.000 0.000 0.500 1
Pd1 Pd 0.000 0.500 0.000 1
Pd2 Pd 0.000 0.500 0.323 1
Pd3 Pd 0.500 0.500 0.162 1
Pd4 Pd 0.500 0.500 0.500 1
```


Below is LaSmYN3 after structural relaxation, with properties calculated at the PBE level.

Mass density, kg/m3: 6920
Calculated total energy, eV/atom: -8.213

CIF file:
```
data_LaSmYN3
_space_group_name_H-M_alt 'P 1 21/m 1'
_space_group_IT_number 11
_space_group_name_Hall '-P 2yb'
_cell_length_a 6.168
_cell_length_b 3.607
_cell_length_c 9.259
_cell_angle_alpha 90.00
_cell_angle_beta 101.81
_cell_angle_gamma 90.00
loop_
_atom_site_label
_atom_site_type_symbol
_atom_site_fract_x
_atom_site_fract_y
_atom_site_fract_z
_atom_site_occupancy
La1 La 0.148 0.250 0.197 1
Sm1 Sm 0.271 0.750 0.545 1
Y1 Y 0.356 0.250 0.860 1
N1 N 0.038 0.250 0.674 1
N2 N 0.258 0.750 0.986 1
N3 N 0.470 0.750 0.346 1
```


Below is Mg4HPb2 after structural relaxation, with properties calculated at the PBE level.

Mass density, kg/m3: 5647
Energy above the most stable polymorph in this dataset, meV/atom: 5
D(E_F), states/eV/atom: 0.261
Calculated total energy, eV/atom: -2.494

CIF file:
```
data_Mg4HPb2
_space_group_name_H-M_alt 'I 4/m m m'
_space_group_IT_number 139
_space_group_name_Hall '-I 4 2'
_cell_length_a 4.481
_cell_length_b 4.481
_cell_length_c 15.013
_cell_angle_alpha 90.00
_cell_angle_beta 90.00
_cell_angle_gamma 90.00
loop_
_atom_site_label
_atom_site_type_symbol
_atom_site_fract_x
_atom_site_fract_y
_atom_site_fract_z
_atom_site_occupancy
Mg1 Mg 0.000 0.000 0.159 1
Mg2 Mg 0.000 0.500 0.000 1
H1 H 0.000 0.000 0.000 1
Pb1 Pb 0.000 0.000 0.358 1
```


Below is Cs3KTl2I6 after structural relaxation, with properties calculated at the PBE level.

Mass density, kg/m3: 4262
D(E_F), states/eV/atom: 0.000
Calculated total energy, eV/atom: -2.710

CIF file:
```
data_Cs3KTl2I6
_space_group_name_H-M_alt 'C 1 2/m 1'
_space_group_IT_number 12
_space_group_name_Hall '-C 2y'
_cell_length_a 9.152
_cell_length_b 15.841
_cell_length_c 9.163
_cell_angle_alpha 90.00
_cell_angle_beta 109.42
_cell_angle_gamma 90.00
loop_
_atom_site_label
_atom_site_type_symbol
_atom_site_fract_x
_atom_site_fract_y
_atom_site_fract_z
_atom_site_occupancy
Cs1 Cs 0.000 0.000 0.000 1
Cs2 Cs 0.000 0.332 0.000 1
K1 K 0.000 0.500 0.500 1
Tl1 Tl 0.000 0.166 0.500 1
I1 I 0.241 0.000 0.726 1
I2 I 0.242 0.333 0.724 1
```


Below is CuAg2Ir after structural relaxation, with properties calculated at the PBE level.

Formation energy from the elements, kJ/mol of atoms: 30.1
Mass density, kg/m3: 12526
Energy above the most stable polymorph in this dataset, meV/atom: 114
D(E_F), states/eV/atom: 0.926
Calculated total energy, eV/atom: -4.353

CIF file:
```
data_CuAg2Ir
_space_group_name_H-M_alt 'C 1 m 1'
_space_group_IT_number 8
_space_group_name_Hall 'C -2y'
_cell_length_a 9.359
_cell_length_b 2.746
_cell_length_c 4.956
_cell_angle_alpha 90.00
_cell_angle_beta 101.07
_cell_angle_gamma 90.00
loop_
_atom_site_label
_atom_site_type_symbol
_atom_site_fract_x
_atom_site_fract_y
_atom_site_fract_z
_atom_site_occupancy
Cu1 Cu 0.000 0.000 0.000 1
Ag1 Ag 0.010 0.500 0.521 1
Ag2 Ag 0.250 0.500 0.271 1
Ir1 Ir 0.264 0.000 0.788 1
```


Below is Ni4PBr after structural relaxation, with properties calculated at the PBE level.

Mass density, kg/m3: 7079
D(E_F), states/eV/atom: 1.345
Calculated total energy, eV/atom: -4.434

CIF file:
```
data_Ni4PBr
_space_group_name_H-M_alt 'F -4 3 m'
_space_group_IT_number 216
_space_group_name_Hall 'F -4 2 3'
_cell_length_a 6.871
_cell_length_b 6.871
_cell_length_c 6.871
_cell_angle_alpha 90.00
_cell_angle_beta 90.00
_cell_angle_gamma 90.00
loop_
_atom_site_label
_atom_site_type_symbol
_atom_site_fract_x
_atom_site_fract_y
_atom_site_fract_z
_atom_site_occupancy
Ni1 Ni 0.124 0.124 0.124 1
P1 P 0.250 0.250 0.750 1
Br1 Br 0.000 0.000 0.500 1
```


- What is the mass density in the fourth record?
  6920 kg/m3


Please write out number 5 again, unchanged.
Below is Mg4HPb2 after structural relaxation, with properties calculated at the PBE level.

Mass density, kg/m3: 5647
Energy above the most stable polymorph in this dataset, meV/atom: 5
D(E_F), states/eV/atom: 0.261
Calculated total energy, eV/atom: -2.494

CIF file:
```
data_Mg4HPb2
_space_group_name_H-M_alt 'I 4/m m m'
_space_group_IT_number 139
_space_group_name_Hall '-I 4 2'
_cell_length_a 4.481
_cell_length_b 4.481
_cell_length_c 15.013
_cell_angle_alpha 90.00
_cell_angle_beta 90.00
_cell_angle_gamma 90.00
loop_
_atom_site_label
_atom_site_type_symbol
_atom_site_fract_x
_atom_site_fract_y
_atom_site_fract_z
_atom_site_occupancy
Mg1 Mg 0.000 0.000 0.159 1
Mg2 Mg 0.000 0.500 0.000 1
H1 H 0.000 0.000 0.000 1
Pb1 Pb 0.000 0.000 0.358 1
```